Record 1
Crystalline NdMg3Ir at its relaxed geometry, computed with PBE-GGA.

Cell: 7.7023 5.5707 5.9217 Å, 90.00 90.00 65.23°
With the nearest neighbours (Å) after each atom.
Element x y z (fractional)
Mg1 0.0742 0.6978 0.8014  2 Ir 2.74-2.79, 2 Mg 2.95-2.97
Mg2 0.0742 0.6978 0.3034  2 Ir 2.74-2.79, 2 Mg 2.95-2.97
Mg3 0.4864 0.2678 0.8034  2 Ir 2.74-2.79, 2 Mg 2.95-2.97
Mg4 0.1656 0.1281 0.5524  1 Ir 2.72
Mg5 0.3950 0.8376 0.0524  1 Ir 2.72
Mg6 0.4864 0.2678 0.3014  2 Ir 2.74-2.79, 2 Mg 2.95-2.97
Ir1 0.7467 0.8440 0.0524  5 Mg 2.72-2.79, 2 Nd 2.86-3.01
Ir2 0.8139 0.1217 0.5524  5 Mg 2.72-2.79, 2 Nd 2.86-3.01
Nd1 0.6802 0.6848 0.5524  4 Ir 2.86-3.19
Nd2 0.8804 0.2809 0.0524  4 Ir 2.86-3.19

---

Record 2
Crystalline Nd7Mg2Ir2 at its relaxed geometry, computed with PBE-GGA.

Cell: 7.0495 7.4864 7.0495 Å, 90.00 106.95 90.00°
With the nearest neighbours (Å) after each atom.
Element x y z (fractional)
Nd1 0.5000 0.7622 0.5000  2 Ir 3.01
Nd2 0.5000 0.7537 0.0000  2 Ir 2.82
Nd3 0.5000 0.2463 0.0000  2 Ir 2.82
Nd4 0.0000 0.2463 0.5000  2 Ir 2.82
Nd5 0.5000 0.2378 0.5000  2 Ir 3.01
Nd6 0.0000 0.7537 0.5000  2 Ir 2.82
Nd7 0.0000 0.0000 0.0000  2 Ir 3.24
Ir1 0.2858 0.0000 0.7142  6 Nd 2.82-3.01
Ir2 0.7142 0.0000 0.2858  6 Nd 2.82-3.01
Mg1 0.8277 0.5000 0.8277  1 Mg 2.89
Mg2 0.1723 0.5000 0.1723  1 Mg 2.89

---

Record 3
Crystalline Nd3Mg5Ir2 at its relaxed geometry, computed with PBE-GGA.

Cell: 6.3125 9.4572 9.4572 Å, 80.57 70.50 70.50°
With the nearest neighbours (Å) after each atom.
Element x y z (fractional)
Mg1 0.5791 0.2437 0.5981  1 Ir 2.55
Mg2 0.2500 0.5000 0.5000  8 Mg 2.87-3.16
Mg3 0.4843 0.2657 0.2657  2 Ir 2.68
Mg4 0.4209 0.7563 0.4019  1 Ir 2.55
Mg5 0.7500 0.5000 0.5000  8 Mg 2.87-3.16
Mg6 0.5157 0.7343 0.7343  2 Ir 2.68
Mg7 0.9843 0.2657 0.2657  2 Ir 2.68
Mg8 0.0791 0.5981 0.2437  1 Ir 2.55
Mg9 0.9209 0.4019 0.7563  1 Ir 2.55
Mg10 0.0157 0.7343 0.7343  2 Ir 2.68
Ir1 0.8474 0.2824 0.0229  3 Mg 2.55-2.68, 1 Nd 2.81
Ir2 0.3474 0.0229 0.2824  3 Mg 2.55-2.68, 1 Nd 2.81
Ir3 0.1526 0.7176 0.9771  3 Mg 2.55-2.68, 1 Nd 2.81
Ir4 0.6526 0.9771 0.7176  3 Mg 2.55-2.68, 1 Nd 2.81
Nd1 0.1657 0.0797 0.5890  1 Ir 2.81
Nd2 0.7500 0.0000 0.0000  4 Ir 2.99, 2 Nd 3.16
Nd3 0.6657 0.5890 0.0797  1 Ir 2.81
Nd4 0.3343 0.4110 0.9203  1 Ir 2.81
Nd5 0.2500 0.0000 0.0000  4 Ir 2.99, 2 Nd 3.16
Nd6 0.8343 0.9203 0.4110  1 Ir 2.81

---

Record 4
Crystalline NdMg8Ir4 at its relaxed geometry, computed with PBE-GGA.

Cell: 5.7290 7.1210 7.1210 Å, 80.69 66.28 66.28°
With the nearest neighbours (Å) after each atom.
Element x y z (fractional)
Nd1 0.0000 0.0000 0.0000  4 Mg 3.06
Ir1 0.0000 0.0000 0.5000  8 Mg 2.72-2.82, 2 Ir 2.86
Ir2 0.5000 0.5000 0.0000  8 Mg 2.72-2.82, 2 Ir 2.86
Ir3 0.0000 0.5000 0.0000  8 Mg 2.72-2.82, 2 Ir 2.86
Ir4 0.5000 0.0000 0.5000  8 Mg 2.72-2.82, 2 Ir 2.86
Mg1 0.0000 0.3324 0.6676  4 Ir 2.82, 5 Mg 2.98-3.09, 1 Nd 3.06
Mg2 0.0000 0.6676 0.3324  4 Ir 2.82, 5 Mg 2.98-3.09, 1 Nd 3.06
Mg3 0.3324 0.6676 0.6676  4 Ir 2.82, 5 Mg 2.98-3.09, 1 Nd 3.06
Mg4 0.5000 0.7767 0.2233  4 Ir 2.72, 6 Mg 2.91-3.04
Mg5 0.6676 0.3324 0.3324  4 Ir 2.82, 5 Mg 2.98-3.09, 1 Nd 3.06
Mg6 0.5000 0.2233 0.7767  4 Ir 2.72, 6 Mg 2.91-3.04
Mg7 0.2767 0.2233 0.2233  4 Ir 2.72, 6 Mg 2.91-3.04
Mg8 0.7233 0.7767 0.7767  4 Ir 2.72, 6 Mg 2.91-3.04

---

We obtain magnetization values of 0.0 0.0 0.0 0.0 Bohr magnetons per cell for the records listed above, in that order.
We obtain ΔH_f (0 K) values of -0.333 -0.226 -0.242 -0.334 eV/atom for the records listed above, in that order.
We obtain E_tot values of -4.02 -5.16 -4.24 -4.41 eV per atom for the records listed above, in that order.